LiTbGdCd PBE-GGA relaxed; calculated formation energy = -0.521 eV per formula unit; total magnetic moment = 1.9629 μB/atom
1.0
-0.267 3.425 -4.019
-4.565 2.428 -1.105
-0.545 5.170 0.965
Cd Li Gd Tb
1 1 1 1
direct
0.750 0.750 0.750
0.250 0.250 0.250
0.500 0.500 0.500
0.000 0.000 0.000

ZrTaCl2 PBE-GGA relaxed; energy relative to the elements, uncorrected = -0.650 eV per formula unit; total magnetic moment = 0.0000 μB/atom
1.0
-4.055 0.599 -1.343
-1.043 -1.360 2.542
0.261 5.595 1.706
Cl Zr Ta
2 1 1
direct
0.000 0.096 0.001
0.000 0.404 0.499
0.500 0.750 0.750
0.500 0.250 0.250

SmDyMn4 PBE-GGA relaxed; calculated formation energy = 1.219 eV per formula unit; total magnetic moment = 0.9740 μB/atom
1.0
-1.250 -4.668 1.848
3.503 -2.773 2.609
-0.535 -0.706 5.097
Mn Dy Sm
4 1 1
direct
0.625 0.625 0.625
0.625 0.625 0.124
0.625 0.124 0.625
0.124 0.625 0.625
0.000 0.000 0.000
0.250 0.250 0.250

CuOsF2 PBE-GGA relaxed; energy relative to the elements, uncorrected = -2.474 eV per formula unit; total magnetic moment = 0.0000 μB/atom
1.0
1.547 0.000 7.564
-0.774 1.340 7.564
-0.774 -1.340 7.564
Cu F Os
1 2 1
direct
0.500 0.500 0.500
0.911 0.911 0.911
0.089 0.089 0.089
0.000 0.000 0.000

Tm3Ga7Tc2 PBE-GGA relaxed; calculated formation energy = -3.154 eV per formula unit; total magnetic moment = 0.0000 μB/atom
1.0
-0.702 -4.308 -1.686
4.615 -0.495 -0.656
-1.278 -4.009 10.779
Tm Ga Tc
3 7 2
direct
0.500 0.500 0.000
0.500 0.316 0.632
0.500 0.684 0.368
0.500 0.907 0.813
0.000 0.000 0.000
0.000 0.594 0.189
0.500 0.093 0.187
0.000 0.406 0.811
0.000 0.219 0.438
0.000 0.781 0.562
0.000 0.894 0.787
0.000 0.106 0.213

TaTcAg2 PBE-GGA relaxed; calculated formation energy = 2.006 eV per formula unit; total magnetic moment = 0.0000 μB/atom
1.0
-0.957 2.031 1.529
-1.610 -1.748 1.316
6.586 -1.482 6.089
Tc Ag Ta
1 2 1
direct
0.500 0.500 0.750
0.000 0.000 0.504
0.000 0.000 0.996
0.500 0.500 0.250